16
Lattice="6.2616 -3.4677 0.0000 6.2616 3.4677 0.0000 -4.0267 0.0000 6.4926" Properties=species:S:1:pos:R:3 comment="K4Pa3InN8, relaxed, DFT GGA-PBE" crystal_system=monoclinic total_energy_ev_per_cell=-113.50 formation_energy_uncorrected_ev_per_fu=-11.29 n_ef_per_ev_cell=10.919 pbc="T T T"
K 0.0000 0.0000 0.0000
K 3.1308 1.7338 0.0000
K 3.1308 -1.7338 0.0000
K 6.2616 0.0000 0.0000
Pa -2.0133 0.0000 3.2463
Pa 1.1174 1.7338 3.2463
Pa 1.1174 -1.7338 3.2463
In 4.2482 0.0000 3.2463
N 3.2308 1.8105 4.3705
N 0.1243 0.0000 4.3262
N 1.9350 0.0000 2.0975
N 5.2656 1.8105 2.1221
N 3.2308 -1.8105 4.3705
N 6.5614 0.0000 4.3952
N 8.3722 0.0000 2.1664
N 5.2656 -1.8105 2.1221

***

5
Lattice="4.8740 0.0000 0.0000 0.0000 4.8740 0.0000 0.0000 0.0000 5.9744" Properties=species:S:1:pos:R:3 comment="KInSN2, relaxed, DFT GGA-PBE" crystal_system=tetragonal total_energy_ev_per_cell=-15.24 formation_energy_uncorrected_ev_per_fu=9.37 n_ef_per_ev_cell=2.171 pbc="T T T"
K 0.0000 0.0000 0.0000
In 2.4370 2.4370 2.9872
S 0.0000 0.0000 2.9872
N 0.0000 2.4370 0.0000
N 2.4370 0.0000 0.0000

***

5
Lattice="4.5061 0.0000 0.0000 0.0000 4.5061 0.0000 0.0000 0.0000 5.2381" Properties=species:S:1:pos:R:3 comment="KInSN2, relaxed, DFT GGA-PBE" crystal_system=tetragonal total_energy_ev_per_cell=-20.11 formation_energy_uncorrected_ev_per_fu=4.51 n_ef_per_ev_cell=2.656 pbc="T T T"
K 0.0000 0.0000 0.0000
In 2.2531 2.2531 2.6191
S 2.2531 2.2531 0.0000
N 0.0000 2.2531 2.6191
N 2.2531 0.0000 2.6191

***

5
Lattice="5.5450 0.0000 0.0000 0.0000 5.5450 0.0000 0.0000 0.0000 4.3531" Properties=species:S:1:pos:R:3 comment="KInSe2N, relaxed, DFT GGA-PBE" crystal_system=tetragonal total_energy_ev_per_cell=-17.70 formation_energy_uncorrected_ev_per_fu=1.43 n_ef_per_ev_cell=3.018 pbc="T T T"
K 0.0000 0.0000 0.0000
In 2.7725 2.7725 2.1766
Se 0.0000 2.7725 2.1766
Se 2.7725 0.0000 2.1766
N 2.7725 2.7725 0.0000

***

5
Lattice="4.3905 0.0000 0.0000 0.0000 4.3905 0.0000 0.0000 0.0000 5.3763" Properties=species:S:1:pos:R:3 comment="KInSeN2, relaxed, DFT GGA-PBE" crystal_system=tetragonal total_energy_ev_per_cell=-19.24 formation_energy_uncorrected_ev_per_fu=4.73 n_ef_per_ev_cell=2.514 pbc="T T T"
K 0.0000 0.0000 0.0000
In 2.1952 2.1952 2.6881
Se 2.1952 2.1952 0.0000
N 0.0000 2.1952 2.6881
N 2.1952 0.0000 2.6881

***

5
Lattice="6.0175 0.0000 0.0000 0.0000 6.0175 0.0000 0.0000 0.0000 5.1253" Properties=species:S:1:pos:R:3 comment="KInSe2N, relaxed, DFT GGA-PBE" crystal_system=tetragonal total_energy_ev_per_cell=-13.26 formation_energy_uncorrected_ev_per_fu=5.87 n_ef_per_ev_cell=4.285 pbc="T T T"
K 0.0000 0.0000 0.0000
In 3.0087 3.0087 2.5627
Se 0.0000 3.0087 0.0000
Se 3.0087 0.0000 0.0000
N 0.0000 0.0000 2.5627

***

5
Lattice="5.4543 0.0000 0.0000 0.0000 5.4543 0.0000 0.0000 0.0000 6.8285" Properties=species:S:1:pos:R:3 comment="KInSeN2, relaxed, DFT GGA-PBE" crystal_system=tetragonal total_energy_ev_per_cell=-14.75 formation_energy_uncorrected_ev_per_fu=9.22 n_ef_per_ev_cell=4.351 pbc="T T T"
K 0.0000 0.0000 0.0000
In 2.7272 2.7272 3.4142
Se 0.0000 0.0000 3.4142
N 0.0000 2.7272 0.0000
N 2.7272 0.0000 0.0000

***

5
Lattice="5.9537 0.0000 0.0000 0.0000 5.9537 0.0000 0.0000 0.0000 4.2798" Properties=species:S:1:pos:R:3 comment="KIn2SiN, relaxed, DFT GGA-PBE" crystal_system=tetragonal total_energy_ev_per_cell=-11.60 formation_energy_uncorrected_ev_per_fu=8.73 n_ef_per_ev_cell=5.239 pbc="T T T"
K 0.0000 0.0000 0.0000
In 0.0000 2.9768 0.0000
In 2.9768 0.0000 0.0000
Si 2.9768 2.9768 2.1399
N 0.0000 0.0000 2.1399

***

5
Lattice="4.6353 0.0000 0.0000 0.0000 4.6353 0.0000 0.0000 0.0000 5.0283" Properties=species:S:1:pos:R:3 comment="KIn2TcN, relaxed, DFT GGA-PBE" crystal_system=tetragonal total_energy_ev_per_cell=-19.73 formation_energy_uncorrected_ev_per_fu=5.54 n_ef_per_ev_cell=6.213 pbc="T T T"
K 0.0000 0.0000 0.0000
In 0.0000 2.3176 2.5141
In 2.3176 0.0000 2.5141
Tc 2.3176 2.3176 0.0000
N 0.0000 0.0000 2.5141

***

5
Lattice="6.4210 0.0000 0.0000 0.0000 6.4210 0.0000 0.0000 0.0000 5.0961" Properties=species:S:1:pos:R:3 comment="KInTe2N, relaxed, DFT GGA-PBE" crystal_system=tetragonal total_energy_ev_per_cell=-12.62 formation_energy_uncorrected_ev_per_fu=5.83 n_ef_per_ev_cell=4.220 pbc="T T T"
K 0.0000 0.0000 0.0000
In 3.2105 3.2105 2.5480
Te 0.0000 3.2105 0.0000
Te 3.2105 0.0000 0.0000
N 0.0000 0.0000 2.5480

***

5
Lattice="4.6300 0.0000 0.0000 0.0000 4.6300 0.0000 0.0000 0.0000 5.9261" Properties=species:S:1:pos:R:3 comment="KInTeN2, relaxed, DFT GGA-PBE" crystal_system=tetragonal total_energy_ev_per_cell=-18.38 formation_energy_uncorrected_ev_per_fu=5.25 n_ef_per_ev_cell=2.573 pbc="T T T"
K 0.0000 0.0000 0.0000
In 2.3150 2.3150 2.9631
Te 2.3150 2.3150 0.0000
N 0.0000 2.3150 2.9631
N 2.3150 0.0000 2.9631

***

5
Lattice="6.1970 0.0000 0.0000 0.0000 6.1970 0.0000 0.0000 0.0000 4.0875" Properties=species:S:1:pos:R:3 comment="KInTe2N, relaxed, DFT GGA-PBE" crystal_system=tetragonal total_energy_ev_per_cell=-16.61 formation_energy_uncorrected_ev_per_fu=1.83 n_ef_per_ev_cell=3.789 pbc="T T T"
K 0.0000 0.0000 0.0000
In 3.0985 3.0985 2.0437
Te 0.0000 3.0985 2.0437
Te 3.0985 0.0000 2.0437
N 3.0985 3.0985 0.0000

***

Please write out number 2 again, unchanged.
5
Lattice="4.8740 0.0000 0.0000 0.0000 4.8740 0.0000 0.0000 0.0000 5.9744" Properties=species:S:1:pos:R:3 comment="KInSN2, relaxed, DFT GGA-PBE" crystal_system=tetragonal total_energy_ev_per_cell=-15.24 formation_energy_uncorrected_ev_per_fu=9.37 n_ef_per_ev_cell=2.171 pbc="T T T"
K 0.0000 0.0000 0.0000
In 2.4370 2.4370 2.9872
S 0.0000 0.0000 2.9872
N 0.0000 2.4370 0.0000
N 2.4370 0.0000 0.0000